# Tb2ZnRh2

Crystalline Tb2ZnRh2 at its relaxed geometry (PBE-GGA, Alexandria).

Cell: 10.161 5.388 7.748 Å, 90.00 106.73 90.00°
Space group C2/c (No. 15)
One atom of each set of equivalent atoms:
Tb 0.146 0.149 0.149 [8 per cell]
Zn 0.000 0.351 0.750 [4 per cell]
Rh 0.133 0.355 0.512 [8 per cell]

Summary:
Total energy ... -5.805 eV per atom
ΔE_f ... -0.757 eV per atom

=====

# RbCa2PdI

Crystalline RbCa2PdI at its relaxed geometry (PBE-GGA, Alexandria).

Cell: 6.962 6.962 5.192 Å, 90.00 90.00 90.00°
Space group P4/mmm (No. 123)
One atom of each set of equivalent atoms:
Rb 0.000 0.000 0.000 [1 per cell]
Ca 0.000 0.500 0.000 [2 per cell]
Pd 0.000 0.000 0.500 [1 per cell]
I 0.500 0.500 0.500 [1 per cell]

Summary:
Total energy ... -1.704 eV per atom

=====

# SmEr2Pb2

Crystalline SmEr2Pb2 at its relaxed geometry (PBE-GGA, Alexandria).

Cell: 6.519 6.530 7.850 Å, 90.00 114.11 90.00°
Space group C2/m (No. 12)
One atom of each set of equivalent atoms:
Sm 0.000 0.000 0.000 [2 per cell]
Er 0.000 0.250 0.500 [4 per cell]
Pb 0.105 0.500 0.204 [4 per cell]

Summary:
Total energy ... -4.507 eV per atom
ΔE_f ... -0.255 eV per atom

=====

# Ca7HgAu2N2

Crystalline Ca7HgAu2N2 at its relaxed geometry (PBE-GGA, Alexandria).

Cell: 6.824 6.826 13.048 Å, 90.00 105.09 90.00°
Space group C2/m (No. 12)
One atom of each set of equivalent atoms:
Ca 0.000 0.000 0.000 [2 per cell]
Ca 0.150 0.250 0.801 [8 per cell]
Ca 0.197 0.000 0.395 [4 per cell]
Hg 0.000 0.500 0.000 [2 per cell]
Au 0.181 0.500 0.362 [4 per cell]
N 0.101 0.000 0.202 [4 per cell]

Summary:
Total energy ... -3.841 eV per atom

=====

# Zn2Pd6Pt

Crystalline Zn2Pd6Pt at its relaxed geometry (PBE-GGA, Alexandria).

Cell: 8.226 8.226 4.008 Å, 90.00 90.00 90.00°
Space group P4_2/mnm (No. 136)
One atom of each set of equivalent atoms:
Zn 0.168 0.168 0.000 [4 per cell]
Pd 0.001 0.668 0.500 [8 per cell]
Pd 0.164 0.836 0.000 [4 per cell]
Pt 0.000 0.000 0.500 [2 per cell]

Summary:
Total energy ... -4.716 eV per atom
Relative energy among the computed polymorphs ... 0.0 meV per atom
ΔE_f ... -0.300 eV per atom

=====

# Gd2AlBi

Crystalline Gd2AlBi at its relaxed geometry (PBE-GGA, Alexandria).

Cell: 4.912 4.912 4.443 Å, 90.00 90.00 90.00°
Space group P4/mmm (No. 123)
One atom of each set of equivalent atoms:
Gd 0.000 0.500 0.000 [2 per cell]
Al 0.000 0.000 0.500 [1 per cell]
Bi 0.500 0.500 0.500 [1 per cell]

Summary:
Total energy ... -9.429 eV per atom
Relative energy among the computed polymorphs ... 36.1 meV per atom
ΔE_f ... -0.482 eV per atom

=====

# Ba2Ac5Ag2Ir2

Crystalline Ba2Ac5Ag2Ir2 at its relaxed geometry (PBE-GGA, Alexandria).

Cell: 5.828 5.828 28.958 Å, 90.00 90.00 90.00°
Space group I4/mmm (No. 139)
One atom of each set of equivalent atoms:
Ba 0.000 0.000 0.215 [4 per cell]
Ac 0.000 0.000 0.000 [2 per cell]
Ac 0.000 0.500 0.110 [8 per cell]
Ag 0.000 0.000 0.332 [4 per cell]
Ir 0.000 0.000 0.098 [4 per cell]

Summary:
Total energy ... -4.607 eV per atom
ΔE_f ... -0.261 eV per atom

=====

# Tb2TlIrO8

Crystalline Tb2TlIrO8 at its relaxed geometry (PBE-GGA, Alexandria).

Cell: 6.828 7.152 7.107 Å, 90.00 90.00 90.00°
Space group Cmmm (No. 65)
One atom of each set of equivalent atoms:
Tb 0.000 0.000 0.246 [4 per cell]
Tl 0.000 0.500 0.500 [2 per cell]
Ir 0.000 0.500 0.000 [2 per cell]
O 0.000 0.315 0.196 [8 per cell]
O 0.199 0.000 0.500 [4 per cell]
O 0.219 0.000 0.000 [4 per cell]

Summary:
Total energy ... -6.786 eV per atom

=====

# SmTmGe

Crystalline SmTmGe at its relaxed geometry (PBE-GGA, Alexandria).

Cell: 4.7229 4.7229 4.2173 Å, 90.00 90.00 120.00°
Space group P3m1 (No. 156)
One atom of each set of equivalent atoms:
Sm 0.0000 0.0000 0.0000 [1 per cell]
Tm 0.3333 0.6667 0.5193 [1 per cell]
Ge 0.6667 0.3333 0.3897 [1 per cell]

Summary:
Total energy ... -5.013 eV per atom
ΔE_f ... -0.410 eV per atom

=====

# CaMo2Cl

Crystalline CaMo2Cl at its relaxed geometry (PBE-GGA, Alexandria).

Cell: 4.944 11.946 2.925 Å, 90.00 90.00 90.00°
Space group Cmmm (No. 65)
One atom of each set of equivalent atoms:
Ca 0.000 0.000 0.000 [2 per cell]
Mo 0.250 0.250 0.500 [4 per cell]
Cl 0.000 0.500 0.000 [2 per cell]

Summary:
Total energy ... -5.672 eV per atom
Relative energy among the computed polymorphs ... 848.6 meV per atom

=====

# Sc4CuRu3

Crystalline Sc4CuRu3 at its relaxed geometry (PBE-GGA, Alexandria).

Cell: 4.553 4.553 6.460 Å, 90.00 90.00 90.00°
Space group P4/mmm (No. 123)
One atom of each set of equivalent atoms:
Sc 0.000 0.500 0.243 [4 per cell]
Cu 0.000 0.000 0.500 [1 per cell]
Ru 0.000 0.000 0.000 [1 per cell]
Ru 0.500 0.500 0.000 [1 per cell]
Ru 0.500 0.500 0.500 [1 per cell]

Summary:
Total energy ... -7.696 eV per atom
ΔE_f ... -0.540 eV per atom

=====

# YBeInH2

Crystalline YBeInH2 at its relaxed geometry (PBE-GGA, Alexandria).

Cell: 4.123 4.123 4.744 Å, 90.00 90.00 90.00°
Space group P4/mmm (No. 123)
One atom of each set of equivalent atoms:
Y 0.000 0.000 0.000 [1 per cell]
Be 0.500 0.500 0.500 [1 per cell]
In 0.500 0.500 0.000 [1 per cell]
H 0.000 0.500 0.500 [2 per cell]

Summary:
Total energy ... -3.407 eV per atom

=====

Q: What is the total energy in the fifth record?
A: -4.716 eV per atom